Record 1
A geometry-optimized LiHoNiRh structure, computed with PBE.

Calculated values
* space group: F-43m (216)
* DOS(E_F): 1.46 states/eV/cell
* formation enthalpy at 0 K: -1.40 eV per formula unit
* total magnetic moment: 0.00 μB per atom

```
LiHoNiRh
1.0
4.503 0.000 0.000
2.251 3.900 0.000
2.251 1.300 3.677
Li Rh Ni Ho
1 1 1 1
Cartesian
4.503 2.600 1.838
6.754 3.900 2.757
2.251 1.300 0.919
0.000 0.000 0.000
```

Record 2
A geometry-optimized LiHoScNi structure, computed with PBE.

Calculated values
* space group: F-43m (216)
* DOS(E_F): 3.38 states/eV/cell
* formation enthalpy at 0 K: -0.64 eV per formula unit
* total magnetic moment: 0.00 μB per atom

```
LiHoScNi
1.0
-4.595 -0.426 1.163
-2.523 -3.708 -1.591
-1.384 -3.408 3.019
Sc Ni Li Ho
1 1 1 1
Cartesian
-2.126 -1.885 0.648
0.000 0.000 0.000
-4.251 -3.771 1.295
-6.377 -5.656 1.943
```

Record 3
A geometry-optimized LiHo3Si6Ni2 structure, computed with PBE.

Calculated values
* formation energy without anion corrections: -314 meV/atom
* space group: P-3m1 (164)
* DOS(E_F): 4.74 states/eV/cell
* total magnetic moment: 0.00 μB per atom

```
LiHo3Si6Ni2
1.0
-0.008 -4.395 -3.573
4.826 1.621 2.485
-1.449 -4.867 5.990
Ho Si Ni Li
3 6 2 1
Cartesian
1.039 -4.285 0.779
2.329 -3.356 4.123
0.000 0.000 0.000
1.436 -1.556 1.911
-0.136 -4.894 3.458
3.505 -2.747 1.443
-0.140 -6.781 1.924
1.932 -6.085 2.991
3.508 -0.860 2.978
3.158 -0.573 0.697
0.210 -7.069 4.204
-0.725 -2.434 2.995
```

Record 4
A geometry-optimized LiHo2Si3Ni12 structure, computed with PBE.

Calculated values
* formation energy without anion corrections: -224 meV/atom
* space group: R-3m (166)
* DOS(E_F): 11.53 states/eV/cell
* total magnetic moment: 0.00 μB per atom

```
LiHo2Si3Ni12
1.0
-0.611 1.807 5.917
-5.991 -1.577 0.527
1.038 -5.605 2.483
Si Ni Ho Li
3 12 2 1
Cartesian
-2.995 -0.788 0.264
-0.305 0.904 2.959
0.519 -2.802 1.241
-4.209 -5.310 4.193
-1.600 -4.977 4.721
-5.250 -2.885 3.706
-3.107 -4.247 2.422
-3.964 -0.397 4.206
-1.418 -3.554 6.989
-1.354 -0.064 4.734
-4.146 -1.820 1.938
-2.456 -1.127 6.505
-0.313 -2.489 5.221
-5.065 -1.464 5.975
-0.499 -3.910 2.952
-1.936 -1.870 3.107
-3.627 -3.504 5.820
0.000 0.000 0.000
```

Record 5
A geometry-optimized LiTbHoNi structure, computed with PBE.

Calculated values
* space group: F-43m (216)
* DOS(E_F): 3.43 states/eV/cell
* formation enthalpy at 0 K: -0.55 eV per formula unit
* total magnetic moment: 0.00 μB per atom

```
LiTbHoNi
1.0
4.920 0.000 0.000
2.460 4.261 0.000
2.460 1.420 4.017
Tb Ho Ni Li
1 1 1 1
Cartesian
0.000 0.000 0.000
4.920 2.841 2.009
2.460 1.420 1.004
7.380 4.261 3.013
```

Record 6
A geometry-optimized LiHoThNi structure, computed with PBE.

Calculated values
* space group: F-43m (216)
* DOS(E_F): 5.18 states/eV/cell
* formation enthalpy at 0 K: -0.12 eV per formula unit
* total magnetic moment: 0.00 μB per atom

```
LiHoThNi
1.0
-3.479 0.630 -3.510
1.258 -0.192 -4.817
-1.442 -3.861 -2.799
Th Li Ni Ho
1 1 1 1
Cartesian
-0.916 -0.856 -2.781
0.000 0.000 0.000
-1.831 -1.712 -5.563
-2.747 -2.567 -8.344
```

Record 7
A geometry-optimized LiHoTlNi structure, computed with PBE.

Calculated values
* space group: F-43m (216)
* DOS(E_F): 5.50 states/eV/cell
* formation enthalpy at 0 K: -1.00 eV per formula unit
* total magnetic moment: 0.00 μB per atom

```
LiHoTlNi
1.0
4.700 0.000 0.000
2.350 4.070 0.000
2.350 1.357 3.838
Ni Ho Li Tl
1 1 1 1
Cartesian
7.050 4.070 2.878
0.000 0.000 0.000
2.350 1.357 0.959
4.700 2.714 1.919
```

Record 8
A geometry-optimized LiHoZnNi structure, computed with PBE.

Calculated values
* space group: F-43m (216)
* DOS(E_F): 4.77 states/eV/cell
* formation enthalpy at 0 K: -0.82 eV per formula unit
* total magnetic moment: 0.00 μB per atom

```
LiHoZnNi
1.0
4.532 0.000 0.000
2.266 3.925 0.000
2.266 1.308 3.700
Zn Ho Li Ni
1 1 1 1
Cartesian
0.000 0.000 0.000
4.532 2.617 1.850
6.798 3.925 2.775
2.266 1.308 0.925
```

Record 9
A geometry-optimized LiHo2Zn12Ni3 structure, computed with PBE.

Calculated values
* space group: R-3m (166)
* DOS(E_F): 6.73 states/eV/cell
* formation enthalpy at 0 K: 2.40 eV per formula unit
* total magnetic moment: 0.00 μB per atom

```
LiHo2Zn12Ni3
1.0
7.962 0.262 0.186
4.160 6.794 0.186
4.160 2.422 6.351
Zn Ni Ho Li
12 3 2 1
Cartesian
4.250 4.068 1.196
7.574 7.184 5.095
9.987 5.813 1.183
4.250 2.474 3.444
6.296 3.665 5.540
6.296 6.440 1.627
5.636 1.686 1.196
12.033 7.004 3.279
12.033 5.410 5.527
8.709 2.294 1.627
9.987 3.038 5.095
10.647 7.792 5.527
2.080 1.211 3.175
3.981 0.131 0.093
2.080 3.397 0.093
6.758 3.934 2.790
9.525 5.544 3.932
0.000 0.000 0.000
```

Record 10
A geometry-optimized LiHoNpO6 structure, computed with PBE.

Calculated values
* formation energy without anion corrections: -2502 meV/atom
* space group: P4_2nm (102)
* DOS(E_F): 18.85 states/eV/cell
* total magnetic moment: 0.06 μB per atom

```
LiHoNpO6
1.0
5.022 0.000 0.000
0.000 5.022 0.000
0.000 0.000 9.893
O Ho Li Np
12 2 2 2
Cartesian
1.580 1.580 9.723
3.933 1.089 8.249
3.600 3.600 3.303
4.094 0.927 1.773
0.930 4.091 4.776
3.438 3.438 6.720
1.422 1.422 3.303
1.089 3.933 8.249
1.583 1.583 6.720
4.091 0.930 4.776
0.927 4.094 1.773
3.441 3.441 9.723
0.000 0.000 6.646
2.511 2.511 1.700
2.511 2.511 4.995
0.000 0.000 0.048
2.511 2.511 8.228
0.000 0.000 3.282
```

Record 11
A geometry-optimized LiHo2NpO6 structure, computed with PBE.

Calculated values
* formation energy without anion corrections: -3064 meV/atom
* space group: R3 (146)
* DOS(E_F): 8.40 states/eV/cell
* total magnetic moment: 0.20 μB per atom

```
LiHo2NpO6
1.0
5.726 0.000 0.000
2.863 4.958 0.000
2.863 1.653 5.020
O Li Np Ho
6 1 1 2
Cartesian
6.541 1.901 3.832
4.636 5.032 1.197
4.101 3.301 3.832
6.534 4.715 3.832
7.766 3.386 1.197
4.775 1.499 1.197
8.588 4.958 3.061
2.863 1.653 0.232
2.863 1.653 4.710
5.726 3.306 2.089
```

Record 12
A geometry-optimized LiHoNpOs structure, computed with PBE.

Calculated values
* space group: F-43m (216)
* DOS(E_F): 9.59 states/eV/cell
* formation enthalpy at 0 K: 0.39 eV per formula unit
* total magnetic moment: 1.09 μB per atom

```
LiHoNpOs
1.0
-2.188 -4.103 1.405
0.233 -3.959 -2.804
2.661 -3.815 1.400
Np Ho Os Li
1 1 1 1
Cartesian
0.000 0.000 0.000
0.353 -5.939 0.000
0.530 -8.908 0.000
0.177 -2.969 0.000
```

Record 13
A geometry-optimized Li3Ho2NpS6 structure, computed with PBE.

Calculated values
* formation energy without anion corrections: -1669 meV/atom
* space group: C2/m (12)
* DOS(E_F): 6.76 states/eV/cell
* total magnetic moment: 0.33 μB per atom

```
Li3Ho2NpS6
1.0
-3.370 3.615 -4.655
1.047 -6.639 -0.962
-4.538 -0.248 4.741
S Ho Li Np
6 2 3 1
Cartesian
-2.470 0.905 -0.850
-0.980 -2.555 0.396
-5.882 -0.716 -1.272
-2.875 -2.319 -3.001
-3.987 -0.952 2.125
-4.392 -4.176 -0.027
-1.897 0.195 -3.423
-0.427 -3.219 -2.194
-4.895 1.763 -1.662
-3.431 -1.636 -0.438
-1.967 -5.034 0.786
0.000 0.000 0.000
```

Record 14
A geometry-optimized LiHoNp2S4 structure, computed with PBE.

Calculated values
* formation energy without anion corrections: -1540 meV/atom
* space group: P2/m (10)
* DOS(E_F): 17.80 states/eV/cell
* total magnetic moment: 1.08 μB per atom

```
LiHoNp2S4
1.0
3.896 0.000 0.000
0.000 6.721 0.106
0.000 -2.360 6.289
Np S Ho Li
2 4 1 1
Cartesian
1.948 -1.180 3.145
0.000 2.181 3.198
0.000 -0.073 4.790
1.948 1.120 1.563
1.948 3.241 4.832
0.000 4.434 1.605
0.000 0.000 0.000
1.948 3.361 0.053
```

Record 15
A geometry-optimized LiHo2NpS4 structure, computed with PBE.

Calculated values
* formation energy without anion corrections: -1736 meV/atom
* space group: P2/m (10)
* DOS(E_F): 11.93 states/eV/cell
* total magnetic moment: 0.55 μB per atom

```
LiHo2NpS4
1.0
3.879 0.000 0.000
0.000 6.723 0.102
0.000 -2.367 6.295
Np Ho S Li
1 2 4 1
Cartesian
1.939 3.361 0.051
0.000 2.178 3.198
1.939 -1.183 3.148
0.000 4.480 1.648
1.939 1.053 1.589
1.939 3.303 4.808
0.000 -0.124 4.749
0.000 0.000 0.000
```

Record 16
A geometry-optimized Li3HoNp4S8 structure, computed with PBE.

Calculated values
* formation energy without anion corrections: -1424 meV/atom
* space group: R-3m (166)
* DOS(E_F): 37.29 states/eV/cell
* total magnetic moment: 0.53 μB per atom

```
Li3HoNp4S8
1.0
-0.446 7.535 1.954
-6.149 -1.512 4.428
6.662 -3.912 1.052
Np Li S Ho
4 3 8 1
Cartesian
3.108 1.811 1.503
0.000 0.000 0.000
3.331 -1.956 0.526
-0.223 3.768 0.977
0.256 -2.712 2.740
-3.298 3.012 3.191
0.033 1.055 3.717
-1.362 -1.194 4.294
1.679 -0.453 2.129
-1.657 1.507 1.647
1.724 0.604 5.786
1.945 -3.136 4.817
1.429 3.305 3.139
-1.878 5.247 2.617
-1.613 2.563 5.304
-3.075 -0.756 2.214
```

Record 17
A geometry-optimized Li4HoNp3S8 structure, computed with PBE.

Calculated values
* formation energy without anion corrections: -1475 meV/atom
* space group: R-3m (166)
* DOS(E_F): 29.37 states/eV/cell
* total magnetic moment: 0.75 μB per atom

```
Li4HoNp3S8
1.0
-0.027 -0.862 7.798
3.755 -6.616 -0.718
2.798 6.589 -3.209
Ho Li Np S
1 4 3 8
Cartesian
1.877 -3.308 -0.359
1.386 2.864 2.295
1.399 3.294 -1.605
0.000 0.000 0.000
-0.013 -0.431 3.899
3.277 -0.013 -1.964
1.864 -3.739 3.540
3.263 -0.444 1.935
4.218 -1.901 -0.196
2.331 1.425 0.165
4.196 -2.313 3.706
2.309 1.013 4.067
2.814 -5.609 5.322
2.827 -5.176 1.399
3.713 4.721 -1.451
3.700 4.287 2.472
```

Record 18
A geometry-optimized Li2HoNpS4 structure, computed with PBE.

Calculated values
* formation energy without anion corrections: -1589 meV/atom
* space group: P2/m (10)
* DOS(E_F): 9.32 states/eV/cell
* total magnetic moment: 0.50 μB per atom

```
Li2HoNpS4
1.0
3.917 0.000 0.000
0.000 6.789 0.102
0.000 -2.378 6.132
S Np Li Ho
4 1 2 1
Cartesian
0.000 4.514 1.617
0.000 -0.103 4.616
1.958 3.328 4.663
1.958 1.083 1.571
1.958 3.395 0.051
1.958 -1.189 3.066
0.000 2.206 3.117
0.000 0.000 0.000
```

Record 19
A geometry-optimized LiHoNpS3 structure, computed with PBE.

Calculated values
* formation energy without anion corrections: -1548 meV/atom
* space group: P2_1/m (11)
* DOS(E_F): 18.65 states/eV/cell
* total magnetic moment: 0.77 μB per atom

```
LiHoNpS3
1.0
-2.745 2.423 1.016
-5.562 -5.498 -1.915
1.524 -1.651 8.051
S Ho Np Li
6 2 2 2
Cartesian
-2.630 -3.943 5.849
0.071 -1.371 7.010
-4.265 -4.535 2.847
-4.153 -0.782 1.304
-2.518 -0.189 4.306
-6.853 -3.354 0.143
-2.668 -1.408 6.807
-4.115 -3.317 0.346
-1.332 -0.696 1.613
-5.451 -4.029 5.539
-6.496 -3.897 2.402
-0.287 -0.828 4.751
```

Record 20
A geometry-optimized LiHo2NpS5 structure, computed with PBE.

Calculated values
* formation energy without anion corrections: -1638 meV/atom
* space group: Cmc2_1 (36)
* DOS(E_F): 20.67 states/eV/cell
* total magnetic moment: 0.44 μB per atom

```
LiHo2NpS5
1.0
3.878 0.000 0.000
-1.939 8.069 0.000
0.000 0.000 11.759
Li S Ho Np
2 10 4 2
Cartesian
0.000 7.810 5.616
1.939 0.259 11.496
0.000 4.986 3.994
1.939 2.156 5.906
1.939 0.013 3.315
0.000 0.742 0.878
1.939 3.420 1.943
0.000 5.913 0.027
0.000 8.056 9.195
1.939 3.083 9.874
0.000 4.649 7.823
1.939 7.327 6.758
0.000 2.011 3.460
0.000 1.758 8.062
1.939 6.058 9.340
1.939 6.311 2.183
0.000 3.201 0.033
1.939 4.868 5.913
```